1.
BePtS2: optimized geometry, PBEsol.

Cell: 6.028 6.028 6.028 Å, 128.81 128.81 75.31°
Atoms (fractional coordinates):
Be: 0.000 0.000 0.000
Be: 0.750 0.250 0.500
Pt: 0.250 0.750 0.500
Pt: 0.500 0.500 0.000
S: 0.084 0.625 0.959
S: 0.375 0.334 0.459
S: 0.666 0.125 0.041
S: 0.875 0.916 0.541

Computed properties:
The mass density comes out at 6.880 g/cm3. As for the electronic total energy: -5.3566 eV/atom. The value obtained for the raw formation energy is -424 meV/atom. The symmetry is No. 122.

2.
MnH3Se: optimized geometry, PBEsol.

Cell: 3.737 3.737 3.737 Å, 90.00 90.00 90.00°
Atoms (fractional coordinates):
Mn: 0.000 0.000 0.000
H: 0.000 0.500 0.500
H: 0.500 0.000 0.500
H: 0.500 0.500 0.000
Se: 0.500 0.500 0.500

Computed properties:
The mass density comes out at 4.357 g/cm3. As for the electronic total energy: -3.7612 eV/atom. The symmetry is No. 221.

3.
NbBiNF2: optimized geometry, PBEsol.

Cell: 4.419 4.419 4.506 Å, 90.00 90.00 90.00°
Atoms (fractional coordinates):
Nb: 0.000 0.000 0.000
Bi: 0.500 0.500 0.500
N: 0.500 0.500 0.000
F: 0.000 0.500 0.500
F: 0.500 0.000 0.500

Computed properties:
The mass density comes out at 6.678 g/cm3. As for the electronic total energy: -5.3747 eV/atom. The value obtained for the raw formation energy is 123 meV/atom. The symmetry is No. 123.

4.
Ba2MoPO: optimized geometry, PBEsol.

Cell: 5.474 5.474 3.945 Å, 90.00 90.00 90.00°
Atoms (fractional coordinates):
Ba: 0.000 0.500 0.000
Ba: 0.500 0.000 0.000
Mo: 0.000 0.000 0.500
P: 0.500 0.500 0.500
O: 0.000 0.000 0.000

Computed properties:
The mass density comes out at 5.867 g/cm3. As for the electronic total energy: -6.0683 eV/atom. The value obtained for the raw formation energy is -647 meV/atom. The symmetry is No. 123.

Question: The lowest mass density belongs to which entry?
Answer: MnH3Se